i | DFT (PBE-GGA) results for crystalline V2CdAu at its relaxed geometry.

Geometry as extended XYZ:
```
4
Lattice="-2.219 -2.639 3.043 0.022 1.118 4.460 -3.843 1.536 2.004" Properties=species:S:1:pos:R:3 pbc="T T T"
Au -3.020 0.008 4.753
V -1.510 0.004 2.377
V -4.530 0.011 7.130
Cd 0.000 0.000 0.000
```

Output
* volume: 17.19 Å³/atom


ii | DFT (PBE-GGA) results for crystalline V2CdAu at its relaxed geometry.

Geometry as extended XYZ:
```
8
Lattice="7.348 0.000 0.000 0.000 7.348 0.000 3.674 3.674 2.658" Properties=species:S:1:pos:R:3 pbc="T T T"
Cd 3.674 7.348 1.329
Cd 3.674 3.674 0.000
V 5.511 5.366 1.993
V 9.185 9.330 1.993
V 1.692 5.511 0.664
V 5.656 1.837 0.664
Au 7.348 3.674 1.329
Au 0.000 0.000 0.000
```

Output
* volume: 17.94 Å³/atom


Most favorable structure: i. The second most favorable one is 328 meV per atom above it.


i | DFT (PBE-GGA) results for crystalline Cd2WAu at its relaxed geometry.

Geometry as extended XYZ:
```
4
Lattice="-3.310 -3.812 -1.204 -0.664 -1.017 5.046 -2.138 1.829 0.087" Properties=species:S:1:pos:R:3 pbc="T T T"
Au -1.401 0.406 2.567
W -2.724 -0.992 -0.558
Cd -1.987 -2.415 1.921
Cd 0.000 0.000 0.000
```

Output
* volume: 18.96 Å³/atom


ii | DFT (PBE-GGA) results for crystalline Cd2WAu at its relaxed geometry.

Geometry as extended XYZ:
```
8
Lattice="-2.209 -5.871 -4.319 5.581 1.540 -4.948 3.421 -3.868 -3.206" Properties=species:S:1:pos:R:3 pbc="T T T"
Cd 5.559 -6.679 -10.551
Cd 0.155 -4.489 -4.153
Cd 3.787 -4.537 -5.841
Cd 4.084 -0.693 -4.400
W 5.344 -2.247 -6.393
W 1.686 -2.165 -4.633
Au 0.000 0.000 0.000
Au 1.449 -5.952 -6.079
```

Output
* volume: 20.43 Å³/atom


Most favorable structure: i. The second most favorable one is 361 meV per atom above it.


i | DFT (PBE-GGA) results for crystalline Cd2WAu at its relaxed geometry.

Geometry as extended XYZ:
```
4
Lattice="2.837 0.201 0.000 -0.203 2.837 0.000 0.000 0.000 9.106" Properties=species:S:1:pos:R:3 pbc="T T T"
Cd 0.000 0.000 0.024
Cd 0.000 0.000 4.528
Au 1.317 1.519 6.829
W 1.317 1.519 2.276
```

Output
* volume: 18.41 Å³/atom


ii | DFT (PBE-GGA) results for crystalline Cd2WAu at its relaxed geometry.

Geometry as extended XYZ:
```
4
Lattice="5.221 -0.012 0.000 1.877 4.872 0.000 -3.549 -2.430 2.960" Properties=species:S:1:pos:R:3 pbc="T T T"
Cd 3.549 2.430 0.000
Cd 0.000 0.000 0.000
Au 2.610 -0.006 1.480
W 0.938 2.436 1.480
```

Output
* volume: 18.84 Å³/atom


iii | DFT (PBE-GGA) results for crystalline Cd2WAu at its relaxed geometry.

Geometry as extended XYZ:
```
4
Lattice="-5.115 -7.185 -4.672 -2.921 -8.839 -3.600 -5.277 -8.249 -1.926" Properties=species:S:1:pos:R:3 pbc="T T T"
Cd -6.659 -12.141 -5.101
Cd -13.311 -24.268 -10.196
Au -9.985 -18.205 -7.648
W -3.328 -6.068 -2.549
```

Output
* volume: 18.52 Å³/atom


iv | DFT (PBE-GGA) results for crystalline Cd2WAu at its relaxed geometry.

Geometry as extended XYZ:
```
4
Lattice="4.775 0.000 0.000 0.000 2.814 0.017 0.000 0.628 5.538" Properties=species:S:1:pos:R:3 pbc="T T T"
W 2.388 0.861 1.389
Cd 0.000 2.612 0.052
Cd 0.000 1.924 2.743
Au 2.388 2.582 4.166
```

Output
* volume: 18.59 Å³/atom


Most favorable structure: i. The second most favorable one is 43 meV per atom above it.


i | DFT (PBE-GGA) results for crystalline Cd2WAu at its relaxed geometry.

Geometry as extended XYZ:
```
4
Lattice="-1.045 0.363 4.030 -3.746 -1.730 -0.815 1.598 -3.816 0.758" Properties=species:S:1:pos:R:3 pbc="T T T"
Cd -1.074 -2.773 -0.028
Cd 0.000 0.000 0.000
W -2.395 -0.683 1.607
Au 0.276 -1.726 2.394
```

Output
* volume: 18.48 Å³/atom


ii | DFT (PBE-GGA) results for crystalline Cd2WAu at its relaxed geometry.

Geometry as extended XYZ:
```
4
Lattice="-0.893 -4.380 2.771 1.842 -4.435 2.145 1.183 1.618 5.018" Properties=species:S:1:pos:R:3 pbc="T T T"
Cd 1.604 -5.436 7.476
Cd 2.117 -7.176 9.869
Au 0.562 -1.720 2.602
W 1.046 -3.661 4.888
```

Output
* volume: 18.79 Å³/atom


iii | DFT (PBE-GGA) results for crystalline Cd2WAu at its relaxed geometry.

Geometry as extended XYZ:
```
4
Lattice="-1.291 1.274 2.157 2.475 -2.245 2.807 4.148 4.417 -0.126" Properties=species:S:1:pos:R:3 pbc="T T T"
W 1.629 0.619 2.450
Au 3.703 2.827 2.387
Cd 0.021 0.023 -0.001
Cd 2.053 2.186 -0.062
```

Output
* volume: 18.63 Å³/atom


iv | DFT (PBE-GGA) results for crystalline Cd2WAu at its relaxed geometry.

Geometry as extended XYZ:
```
4
Lattice="-0.723 0.217 -2.802 1.943 -4.651 -0.861 -4.503 -2.067 1.001" Properties=species:S:1:pos:R:3 pbc="T T T"
W -2.613 -0.925 -0.900
Cd 0.000 0.000 0.000
Cd 0.610 -2.217 -1.832
Au -1.280 -3.359 0.070
```

Output
* volume: 18.75 Å³/atom


Most favorable structure: ii. The second most favorable one is 29 meV per atom above it.


i | DFT (PBE-GGA) results for crystalline Cd2WAu at its relaxed geometry.

Geometry as extended XYZ:
```
4
Lattice="-3.324 -3.437 2.562 -3.017 -4.508 -0.037 3.104 -3.775 1.922" Properties=species:S:1:pos:R:3 pbc="T T T"
Au -0.809 -2.930 1.112
W -2.428 -8.790 3.335
Cd -1.626 -5.896 2.237
Cd -3.230 -11.685 4.433
```

Output
* volume: 18.69 Å³/atom


ii | DFT (PBE-GGA) results for crystalline Cd2WAu at its relaxed geometry.

Geometry as extended XYZ:
```
4
Lattice="-1.084 1.662 -10.007 -3.049 -0.503 -9.722 -3.834 2.274 -9.176" Properties=species:S:1:pos:R:3 pbc="T T T"
Cd -0.031 0.013 -0.113
Cd -1.952 0.841 -7.083
Au -6.009 2.589 -21.802
W -3.958 1.705 -14.360
```

Output
* volume: 18.79 Å³/atom


iii | DFT (PBE-GGA) results for crystalline Cd2WAu at its relaxed geometry.

Geometry as extended XYZ:
```
4
Lattice="2.855 0.000 0.000 0.000 4.303 0.000 0.000 0.000 6.057" Properties=species:S:1:pos:R:3 pbc="T T T"
Cd 0.000 0.000 6.050
Cd 1.428 2.151 1.569
Au 1.428 2.151 4.428
W 0.000 0.000 3.097
```

Output
* volume: 18.60 Å³/atom


Most favorable structure: ii. The second most favorable one is 148 meV per atom above it.


i | DFT (PBE-GGA) results for crystalline Cd2WAu at its relaxed geometry.

Geometry as extended XYZ:
```
4
Lattice="4.755 0.000 0.000 2.378 4.118 0.000 2.378 1.373 3.883" Properties=species:S:1:pos:R:3 pbc="T T T"
Cd 7.133 4.118 2.912
Cd 0.000 0.000 0.000
Au 4.755 2.745 1.941
W 2.378 1.373 0.971
```

Output
* volume: 19.01 Å³/atom


ii | DFT (PBE-GGA) results for crystalline Cd2WAu at its relaxed geometry.

Geometry as extended XYZ:
```
4
Lattice="0.000 3.359 3.359 3.359 0.000 3.359 3.359 3.359 0.000" Properties=species:S:1:pos:R:3 pbc="T T T"
Cd 5.038 5.038 5.038
Cd 1.679 1.679 1.679
Au 3.359 3.359 3.359
W 0.000 0.000 0.000
```

Output
* volume: 18.94 Å³/atom


iii | DFT (PBE-GGA) results for crystalline Cd2WAu at its relaxed geometry.

Geometry as extended XYZ:
```
4
Lattice="4.538 0.000 0.000 0.000 2.854 -0.060 0.000 1.517 5.740" Properties=species:S:1:pos:R:3 pbc="T T T"
Cd 2.269 0.916 1.384
Cd 0.000 2.323 0.012
W 0.000 2.363 2.985
Au 2.269 3.809 4.079
```

Output
* volume: 18.69 Å³/atom


Most favorable structure: iii. The second most favorable one is 207 meV per atom above it.


i | DFT (PBE-GGA) results for crystalline Cd2WAu at its relaxed geometry.

Geometry as extended XYZ:
```
4
Lattice="6.092 0.006 0.005 3.248 5.154 -0.005 -3.902 -3.970 2.475" Properties=species:S:1:pos:R:3 pbc="T T T"
Au 2.154 1.962 1.235
Cd 3.284 -0.773 1.240
Cd 0.101 0.056 0.000
W 4.570 2.525 0.000
```

Output
* volume: 19.39 Å³/atom


ii | DFT (PBE-GGA) results for crystalline Cd2WAu at its relaxed geometry.

Geometry as extended XYZ:
```
4
Lattice="-1.704 1.819 1.436 -1.828 -2.166 0.490 4.359 -1.951 7.643" Properties=species:S:1:pos:R:3 pbc="T T T"
Cd -0.613 -0.690 2.985
Cd 4.309 -1.929 7.555
Au 1.443 -1.610 6.590
W 2.226 -0.996 3.903
```

Output
* volume: 18.64 Å³/atom


Most favorable structure: ii. The second most favorable one is 183 meV per atom above it.


i | DFT (PBE-GGA) results for crystalline CdW2Au2 at its relaxed geometry.

Geometry as extended XYZ:
```
5
Lattice="3.650 0.000 0.000 0.000 3.650 0.000 1.825 1.825 7.222" Properties=species:S:1:pos:R:3 pbc="T T T"
Cd 0.000 0.000 0.000
Au 3.650 3.650 5.811
Au 1.825 1.825 1.411
W 1.825 3.650 3.611
W 3.650 1.825 3.611
```

Output
* volume: 19.24 Å³/atom


ii | DFT (PBE-GGA) results for crystalline CdW2Au2 at its relaxed geometry.

Geometry as extended XYZ:
```
10
Lattice="-4.320 -6.024 3.501 3.042 -5.337 -5.429 2.163 -0.539 1.741" Properties=species:S:1:pos:R:3 pbc="T T T"
W 2.463 -4.178 -2.054
W -0.275 -3.207 1.647
W 1.160 -8.694 -1.833
W -1.578 -7.722 1.868
Au -1.452 -8.567 -0.847
Au -2.394 -5.091 1.398
Au 1.116 -6.271 -3.326
Au 0.174 -2.794 -1.081
Cd -0.639 -5.681 -0.964
Cd 0.000 0.000 0.000
```

Output
* volume: 19.01 Å³/atom


iii | DFT (PBE-GGA) results for crystalline CdW2Au2 at its relaxed geometry.

Geometry as extended XYZ:
```
5
Lattice="4.077 0.000 0.000 0.000 4.077 0.000 2.039 2.039 6.022" Properties=species:S:1:pos:R:3 pbc="T T T"
Au 4.077 2.039 3.011
Au 2.039 4.077 3.011
W 4.077 4.077 4.853
W 2.039 2.039 1.169
Cd 0.000 0.000 0.000
```

Output
* volume: 20.02 Å³/atom


Most favorable structure: i. The second most favorable one is 140 meV per atom above it.


i | DFT (PBE-GGA) results for crystalline YCd3Au at its relaxed geometry.

Geometry as extended XYZ:
```
5
Lattice="-2.523 0.292 -4.519 -4.490 -0.832 2.454 -0.587 5.108 0.658" Properties=species:S:1:pos:R:3 pbc="T T T"
Cd -0.293 2.554 0.329
Cd -2.245 -0.416 1.227
Cd -1.262 0.146 -2.259
Au 0.000 0.000 0.000
Y -3.800 2.284 -0.704
```

Output
* volume: 27.86 Å³/atom


ii | DFT (PBE-GGA) results for crystalline YCd3Au at its relaxed geometry.

Geometry as extended XYZ:
```
5
Lattice="5.950 0.000 0.000 0.000 5.950 0.000 0.000 0.000 5.950" Properties=species:S:1:pos:R:3 pbc="T T T"
Cd 0.000 2.975 0.000
Cd 2.975 0.000 0.000
Cd 0.000 0.000 2.975
Au 2.975 2.975 2.975
Y 0.000 0.000 0.000
```

Output
* volume: 42.12 Å³/atom


Most favorable structure: i. The second most favorable one is 766 meV per atom above it.


i | DFT (PBE-GGA) results for crystalline Y4CdAu2 at its relaxed geometry.

Geometry as extended XYZ:
```
7
Lattice="4.921 0.000 0.000 2.461 4.262 0.000 2.461 1.421 9.503" Properties=species:S:1:pos:R:3 pbc="T T T"
Y 4.921 2.841 8.043
Y 2.461 1.421 3.709
Y 7.382 4.262 5.794
Y 4.921 2.841 1.460
Au 7.382 4.262 2.844
Au 2.461 1.421 6.659
Cd 0.000 0.000 0.000
```

Output
* volume: 28.47 Å³/atom


ii | DFT (PBE-GGA) results for crystalline Y4CdAu2 at its relaxed geometry.

Geometry as extended XYZ:
```
7
Lattice="-1.136 -3.090 3.899 3.630 -1.362 3.318 -0.972 5.056 7.064" Properties=species:S:1:pos:R:3 pbc="T T T"
Au 1.135 0.478 10.728
Au 0.388 0.126 3.552
Y 0.120 2.626 8.795
Y -0.272 2.517 5.255
Y 1.795 -1.913 9.025
Y 1.402 -2.022 5.485
Cd 0.000 0.000 0.000
```

Output
* volume: 26.51 Å³/atom


Most favorable structure: ii. The second most favorable one is 113 meV per atom above it.